Record 1
First-principles (PBE) data for a relaxed structure of CaCuAs2Rh, as listed in Alexandria via LeMat-Bulk.

VASP energy: -25.7 eV per cell
N(E_F): 3.0 states/eV per cell
total moment: 0.00 μB/cell
ΔE_f: -289 kJ/mol of formula units

Lattice parameters (Å, degrees): 4.1662 4.1662 6.0370 110.19 110.19 90.00
Element x y z (fractional)
Rh 0.7500 0.2500 0.5000
Cu 0.2500 0.7500 0.5000
Ca 0.0000 0.0000 0.0000
As 0.6229 0.6229 0.2457
As 0.3771 0.3771 0.7543

Record 2
First-principles (PBE) data for a relaxed structure of Ca2CuAs3Rh4, as listed in Alexandria via LeMat-Bulk.

VASP energy: -58.4 eV per cell
N(E_F): 7.6 states/eV per cell
total moment: 0.00 μB/cell
ΔE_f: -672 kJ/mol of formula units

Lattice parameters (Å, degrees): 4.1687 4.1687 10.3051 90.00 90.00 90.00
Element x y z (fractional)
Cu 0.5000 0.5000 0.5000
Rh 0.0000 0.5000 0.3680
Ca 0.0000 0.5000 0.7401
Ca 0.5000 0.0000 0.2599
Rh 0.5000 0.0000 0.6320
As 0.0000 0.0000 0.5000
As 0.5000 0.0000 0.8646
Rh 0.0000 0.0000 0.0000
Rh 0.5000 0.5000 0.0000
As 0.0000 0.5000 0.1354

Record 3
First-principles (PBE) data for a relaxed structure of Ca2Cu3As4Rh, as listed in Alexandria via LeMat-Bulk.

VASP energy: -47.6 eV per cell
N(E_F): 4.9 states/eV per cell
total moment: 0.00 μB/cell
ΔE_f: -516 kJ/mol of formula units

Lattice parameters (Å, degrees): 4.2853 4.2853 9.9373 90.00 90.00 90.00
Element x y z (fractional)
As 0.0000 0.0000 0.0000
Rh 0.5000 0.5000 0.5000
As 0.5000 0.0000 0.6312
Ca 0.0000 0.5000 0.7497
Cu 0.0000 0.0000 0.5000
Cu 0.5000 0.0000 0.8718
As 0.0000 0.5000 0.3688
As 0.5000 0.5000 0.0000
Cu 0.0000 0.5000 0.1282
Ca 0.5000 0.0000 0.2503